(1)
Material: Nd4PuRh5
Method: DFT, PBE
State: optimized geometry

a = 3.501 Å, b = 3.501 Å, c = 17.801 Å
α = 90.00°, β = 90.00°, γ = 90.00°
Space group P4/mmm (No. 123)
Symmetry-distinct sites (fractional):
Nd  0.000  0.000  0.101 (multiplicity 2)
Nd  0.000  0.000  0.303 (multiplicity 2)
Pu  0.000  0.000  0.500 (multiplicity 1)
Rh  0.500  0.500  0.000 (multiplicity 1)
Rh  0.500  0.500  0.202 (multiplicity 2)
Rh  0.500  0.500  0.410 (multiplicity 2)

Calculated values
E = -7.5910 eV per atom
DFT formation energy = -0.57 eV per atom
Fermi-level density of states = 1.78 states/eV/atom



(2)
Material: NdPuRh4
Method: DFT, PBE
State: optimized geometry

a = 7.607 Å, b = 7.607 Å, c = 7.607 Å
α = 90.00°, β = 90.00°, γ = 90.00°
Space group F-43m (No. 216)
Symmetry-distinct sites (fractional):
Nd  0.000  0.000  0.000 (multiplicity 4)
Pu  0.250  0.250  0.250 (multiplicity 4)
Rh  0.125  0.125  0.625 (multiplicity 16)

Calculated values
E = -8.6348 eV per atom
DFT formation energy = -0.55 eV per atom
Fermi-level density of states = 2.31 states/eV/atom



(3)
Material: Nd2PuRh
Method: DFT, PBE
State: optimized geometry

a = 3.576 Å, b = 3.576 Å, c = 8.557 Å
α = 90.00°, β = 90.00°, γ = 90.00°
Space group P4/mmm (No. 123)
Symmetry-distinct sites (fractional):
Nd  0.000  0.000  0.199 (multiplicity 2)
Pu  0.500  0.500  0.500 (multiplicity 1)
Rh  0.500  0.500  0.000 (multiplicity 1)

Calculated values
E = -8.0061 eV per atom
energy above the most stable polymorph in this dataset = 0.00 eV/f.u.
DFT formation energy = -0.20 eV per atom
Fermi-level density of states = 1.88 states/eV/atom



(4)
Material: Nd2PuRh
Method: DFT, PBE
State: optimized geometry

a = 3.7227 Å, b = 3.7227 Å, c = 31.5867 Å
α = 90.00°, β = 90.00°, γ = 120.00°
Space group R-3m (No. 166, hexagonal axes)
Symmetry-distinct sites (fractional):
Nd  0.0000  0.0000  0.1091 (multiplicity 6)
Pu  0.0000  0.0000  0.0000 (multiplicity 3)
Rh  0.0000  0.0000  0.5000 (multiplicity 3)

Calculated values
E = -7.7683 eV per atom
energy above the most stable polymorph in this dataset = 0.95 eV/f.u.
DFT formation energy = 0.04 eV per atom
Fermi-level density of states = 3.08 states/eV/atom



(5)
Material: NdPu3Rh2
Method: DFT, PBE
State: optimized geometry

a = 3.889 Å, b = 8.845 Å, c = 8.232 Å
α = 90.00°, β = 90.00°, γ = 90.00°
Space group Pmc2_1 (No. 26)
Symmetry-distinct sites (fractional):
Nd  0.000  0.087  0.000 (multiplicity 2)
Pu  0.000  0.299  0.606 (multiplicity 2)
Pu  0.500  0.201  0.334 (multiplicity 2)
Pu  0.500  0.429  0.942 (multiplicity 2)
Rh  0.000  0.397  0.217 (multiplicity 2)
Rh  0.500  0.109  0.721 (multiplicity 2)

Calculated values
E = -10.7060 eV per atom
DFT formation energy = -0.29 eV per atom
Fermi-level density of states = 4.33 states/eV/atom



(6)
Material: Nd2PuRh
Method: DFT, PBE
State: optimized geometry

a = 3.8518 Å, b = 3.8518 Å, c = 28.3763 Å
α = 90.00°, β = 90.00°, γ = 120.00°
Space group R-3m (No. 166, hexagonal axes)
Symmetry-distinct sites (fractional):
Nd  0.0000  0.0000  0.2281 (multiplicity 6)
Pu  0.0000  0.0000  0.0000 (multiplicity 3)
Rh  0.0000  0.0000  0.5000 (multiplicity 3)

Calculated values
E = -7.9371 eV per atom
energy above the most stable polymorph in this dataset = 0.28 eV/f.u.
DFT formation energy = -0.13 eV per atom
Fermi-level density of states = 2.78 states/eV/atom



(7)
Material: Nd2PuRh9
Method: DFT, PBE
State: optimized geometry

a = 5.2962 Å, b = 5.2962 Å, c = 26.6536 Å
α = 90.00°, β = 90.00°, γ = 120.00°
Space group R-3m (No. 166, hexagonal axes)
Symmetry-distinct sites (fractional):
Nd  0.0000  0.0000  0.1385 (multiplicity 6)
Pu  0.0000  0.0000  0.0000 (multiplicity 3)
Rh  0.0000  0.0000  0.3331 (multiplicity 6)
Rh  0.0000  0.0000  0.5000 (multiplicity 3)
Rh  0.0004  0.5002  0.0814 (multiplicity 18)

Calculated values
E = -7.9421 eV per atom
DFT formation energy = -0.44 eV per atom
Fermi-level density of states = 1.55 states/eV/atom



(8)
Material: Nd12PuRh7
Method: DFT, PBE
State: optimized geometry

a = 14.4388 Å, b = 14.4388 Å, c = 10.0120 Å
α = 90.00°, β = 90.00°, γ = 120.00°
Space group R-3 (No. 148, hexagonal axes)
Symmetry-distinct sites (fractional):
Nd  0.0284  0.4403  0.1606 (multiplicity 18)
Nd  0.0478  0.8697  0.8354 (multiplicity 18)
Pu  0.0000  0.0000  0.5000 (multiplicity 3)
Rh  0.0000  0.0000  0.0000 (multiplicity 3)
Rh  0.0467  0.8695  0.3319 (multiplicity 18)

Calculated values
E = -6.5888 eV per atom
DFT formation energy = -0.44 eV per atom
Fermi-level density of states = 1.30 states/eV/atom



(9)
Material: NdPu2Rh2
Method: DFT, PBE
State: optimized geometry

a = 4.2147 Å, b = 4.2147 Å, c = 20.4518 Å
α = 90.00°, β = 90.00°, γ = 120.00°
Space group R-3m (No. 166, hexagonal axes)
Symmetry-distinct sites (fractional):
Nd  0.0000  0.0000  0.0000 (multiplicity 3)
Pu  0.0000  0.0000  0.1804 (multiplicity 6)
Rh  0.0000  0.0000  0.4240 (multiplicity 6)

Calculated values
E = -9.8294 eV per atom
energy above the most stable polymorph in this dataset = 0.00 eV/f.u.
DFT formation energy = -0.20 eV per atom
Fermi-level density of states = 1.62 states/eV/atom



(10)
Material: Nd2Pu3Rh4
Method: DFT, PBE
State: optimized geometry

a = 6.146 Å, b = 16.305 Å, c = 8.051 Å
α = 90.00°, β = 90.00°, γ = 90.00°
Space group Cmce (No. 64)
Symmetry-distinct sites (fractional):
Nd  0.000  0.103  0.097 (multiplicity 8)
Pu  0.000  0.000  0.500 (multiplicity 4)
Pu  0.250  0.217  0.750 (multiplicity 8)
Rh  0.000  0.170  0.453 (multiplicity 8)
Rh  0.250  0.051  0.750 (multiplicity 8)

Calculated values
E = -9.5898 eV per atom
DFT formation energy = -0.49 eV per atom
Fermi-level density of states = 2.06 states/eV/atom



(11)
Material: NdPu2Rh2
Method: DFT, PBE
State: optimized geometry

a = 3.689 Å, b = 29.691 Å, c = 3.944 Å
α = 90.00°, β = 90.00°, γ = 90.00°
Space group Cmcm (No. 63)
Symmetry-distinct sites (fractional):
Nd  0.000  0.141  0.250 (multiplicity 4)
Pu  0.000  0.245  0.750 (multiplicity 4)
Pu  0.000  0.447  0.250 (multiplicity 4)
Rh  0.000  0.035  0.250 (multiplicity 4)
Rh  0.000  0.330  0.250 (multiplicity 4)

Calculated values
E = -9.7921 eV per atom
energy above the most stable polymorph in this dataset = 0.19 eV/f.u.
DFT formation energy = -0.17 eV per atom
Fermi-level density of states = 3.30 states/eV/atom